Record 1
DFT (PBE-GGA) results for a relaxed structure of Tl2CdIn3Hg4.

crystal system = tetragonal
calculated formation energy = 0.027 eV per atom
ρ = 9.6 g cm⁻³
M_tot = 0.0 μB per formula unit
space-group type = P-4m2 (115)

Lattice parameters (Å, degrees): 4.7730 4.7730 12.7287 90.00 90.00 90.00
With the nearest neighbours (Å) after each atom.
Fractional coordinates of all 10 atoms:
Tl  0.0000  0.5000  0.2470  8 Hg 3.64-4.01, 6 In 3.68-3.95, 2 Cd 3.95
Tl  0.5000  0.0000  0.7530  8 Hg 3.64-4.01, 6 In 3.68-3.95, 2 Cd 3.95
Cd  0.5000  0.5000  0.0000  4 Hg 2.98
In  0.0000  0.0000  0.0000  4 Hg 2.98
In  0.0000  0.5000  0.6386  5 Hg 2.82-2.97
In  0.5000  0.0000  0.3614  5 Hg 2.82-2.97
Hg  0.0000  0.0000  0.5000  4 In 2.97
Hg  0.0000  0.5000  0.8604  3 In 2.82-2.98, 2 Cd 2.98
Hg  0.5000  0.0000  0.1396  3 In 2.82-2.98, 2 Cd 2.98
Hg  0.5000  0.5000  0.5000  4 In 2.97

***

Record 2
DFT (PBE-GGA) results for a relaxed structure of LaYNi3.

crystal system = cubic
calculated formation energy = 0.442 eV per atom
ρ = 5.9 g cm⁻³
M_tot = 0.0 μB per formula unit
excess energy over the best structure of this formula in the dataset = 78.2 kJ/mol of atoms
space-group type = Pm-3m (221)

Lattice parameters (Å, degrees): 4.8554 4.8554 4.8554 90.00 90.00 90.00
With the nearest neighbours (Å) after each atom.
Fractional coordinates of all 5 atoms:
La  0.0000  0.0000  0.0000  12 Ni 3.43
Y  0.5000  0.5000  0.5000  6 Ni 2.43
Ni  0.0000  0.5000  0.5000  2 Y 2.43
Ni  0.5000  0.0000  0.5000  2 Y 2.43
Ni  0.5000  0.5000  0.0000  2 Y 2.43

***

Record 3
DFT (PBE-GGA) results for a relaxed structure of CaPBr2.

crystal system = monoclinic
ρ = 3.0 g cm⁻³
M_tot = 0.0 μB per formula unit
uncorrected formation energy = -794 meV per atom
excess energy over the best structure of this formula in the dataset = 5.8 kJ/mol of atoms
space-group type = Pm (6)

Lattice parameters (Å, degrees): 4.7619 5.7690 5.1391 90.00 115.23 90.00
With the nearest neighbours (Å) after each atom.
Fractional coordinates of all 4 atoms:
Ca  0.0000  0.0000  0.0000  2 P 2.89, 3 Br 2.91-2.96
P  0.9887  0.5000  0.9878  1 Br 2.29
Br  0.3311  0.0000  0.6366  3 Ca 2.91-2.96
Br  0.6991  0.5000  0.2463  1 P 2.29

***

Record 4
DFT (PBE-GGA) results for a relaxed structure of NpNb2Al.

crystal system = trigonal
calculated formation energy = 0.203 eV per atom
ρ = 9.9 g cm⁻³
M_tot = 3.0 μB per formula unit
excess energy over the best structure of this formula in the dataset = 14.7 kJ/mol of atoms
space-group type = R-3m (166)

Lattice parameters (Å, degrees): 2.8919 2.8919 31.1937 90.00 90.00 120.00
With the nearest neighbours (Å) after each atom.
Fractional coordinates of all 12 atoms:
Np  0.0000  0.0000  0.0000  6 Np 2.89
Np  0.3333  0.6667  0.6667  6 Np 2.89
Np  0.6667  0.3333  0.3333  6 Np 2.89
Nb  0.0000  0.0000  0.2424  6 Nb 2.89, 3 Al 2.89
Nb  0.0000  0.0000  0.7576  6 Nb 2.89, 3 Al 2.89
Nb  0.3333  0.6667  0.4243  6 Nb 2.89, 3 Al 2.89
Nb  0.3333  0.6667  0.9091  6 Nb 2.89, 3 Al 2.89
Nb  0.6667  0.3333  0.0909  6 Nb 2.89, 3 Al 2.89
Nb  0.6667  0.3333  0.5757  6 Nb 2.89, 3 Al 2.89
Al  0.0000  0.0000  0.5000  6 Al 2.89, 6 Nb 2.89
Al  0.3333  0.6667  0.1667  6 Al 2.89, 6 Nb 2.89
Al  0.6667  0.3333  0.8333  6 Al 2.89, 6 Nb 2.89

***

Record 5
DFT (PBE-GGA) results for a relaxed structure of Mg2InAg8.

crystal system = monoclinic
calculated formation energy = -0.018 eV per atom
ρ = 7.9 g cm⁻³
M_tot = 0.0 μB per formula unit
excess energy over the best structure of this formula in the dataset = 5.5 kJ/mol of atoms
space-group type = C2/m (12)

Lattice parameters (Å, degrees): 7.9714 7.9714 5.0504 106.46 106.46 123.24
With the nearest neighbours (Å) after each atom.
Fractional coordinates of all 11 atoms:
Mg  0.1865  0.8135  0.0000  10 Ag 2.83-3.06
Mg  0.8135  0.1865  0.0000  10 Ag 2.83-3.06
In  0.5000  0.5000  0.5000  4 Ag 2.80
Ag  0.0683  0.0683  0.3065  4 Ag 2.61-2.77, 1 In 2.80, 2 Mg 2.92
Ag  0.1366  0.4036  0.8096  6 Ag 2.77-3.10, 2 Mg 2.83-2.89
Ag  0.3003  0.6997  0.5000  1 In 2.80, 6 Ag 2.88-3.10, 4 Mg 2.99-3.06
Ag  0.4036  0.1366  0.8096  6 Ag 2.77-3.10, 2 Mg 2.83-2.89
Ag  0.5964  0.8634  0.1904  6 Ag 2.77-3.10, 2 Mg 2.83-2.89
Ag  0.6997  0.3003  0.5000  1 In 2.80, 6 Ag 2.88-3.10, 4 Mg 2.99-3.06
Ag  0.8634  0.5964  0.1904  6 Ag 2.77-3.10, 2 Mg 2.83-2.89
Ag  0.9317  0.9317  0.6935  4 Ag 2.61-2.77, 1 In 2.80, 2 Mg 2.92

***

Record 6
DFT (PBE-GGA) results for a relaxed structure of U2Br2N.

crystal system = tetragonal
ρ = 6.3 g cm⁻³
M_tot = 4.9 μB per formula unit
uncorrected formation energy = -62 meV per atom
space-group type = P4/mmm (123)

Lattice parameters (Å, degrees): 3.5547 3.5547 13.5269 90.00 90.00 90.00
With the nearest neighbours (Å) after each atom.
Fractional coordinates of all 5 atoms:
U  0.0000  0.0000  0.1475  1 N 2.00
U  0.0000  0.0000  0.8525  1 N 2.00
Br  0.0000  0.0000  0.3426  1 U 2.64
Br  0.0000  0.0000  0.6574  1 U 2.64
N  0.0000  0.0000  0.0000  2 U 2.00

***

Record 7
DFT (PBE-GGA) results for a relaxed structure of KInTe2.

crystal system = monoclinic
ρ = 5.2 g cm⁻³
M_tot = 0.0 μB per formula unit
uncorrected formation energy = -392 meV per atom
space-group type = P2/m (10)

Lattice parameters (Å, degrees): 4.4874 4.4429 6.5857 90.00 90.26 90.00
With the nearest neighbours (Å) after each atom.
Fractional coordinates of all 4 atoms:
K  0.0000  0.0000  0.0000  2 In 3.29, 8 Te 3.56
In  0.0000  0.0000  0.5000  2 K 3.29, 8 Te 3.55-3.57
Te  0.4982  0.5000  0.7495  2 Te 3.29-3.30, 4 In 3.55-3.57, 4 K 3.56
Te  0.5018  0.5000  0.2505  2 Te 3.29-3.30, 4 In 3.55-3.57, 4 K 3.56

***

Record 8
DFT (PBE-GGA) results for a relaxed structure of TbPm3Sc.

crystal system = triclinic
calculated formation energy = 0.075 eV per atom
ρ = 6.7 g cm⁻³
M_tot = 0.0 μB per formula unit
excess energy over the best structure of this formula in the dataset = 0.0 kJ/mol of atoms
space-group type = P-1 (2)

Lattice parameters (Å, degrees): 3.5080 8.3820 11.6388 73.00 81.34 77.93
With the nearest neighbours (Å) after each atom.
Fractional coordinates of all 10 atoms:
Tb  0.1244  0.4916  0.2584  9 Pm 3.51-3.75, 2 Tb 3.51, 2 Sc 3.66
Tb  0.8756  0.5084  0.7416  9 Pm 3.51-3.75, 2 Tb 3.51, 2 Sc 3.66
Pm  0.1699  0.7099  0.9510  5 Pm 3.40-3.75, 4 Sc 3.50-3.59, 3 Tb 3.51-3.71
Pm  0.2123  0.9240  0.6533  6 Pm 3.38-3.51, 2 Sc 3.53, 2 Tb 3.72
Pm  0.4274  0.6975  0.4477  6 Pm 3.14-3.51, 1 Sc 3.41
Pm  0.5726  0.3025  0.5523  6 Pm 3.14-3.51, 1 Sc 3.41
Pm  0.7877  0.0760  0.3467  6 Pm 3.38-3.51, 2 Sc 3.53, 2 Tb 3.72
Pm  0.8301  0.2901  0.0490  5 Pm 3.40-3.75, 4 Sc 3.50-3.59, 3 Tb 3.51-3.71
Sc  0.4783  0.8953  0.1462  3 Sc 3.34-3.51, 7 Pm 3.41-3.59, 2 Tb 3.66
Sc  0.5217  0.1047  0.8538  3 Sc 3.34-3.51, 7 Pm 3.41-3.59, 2 Tb 3.66

***

Record 9
DFT (PBE-GGA) results for a relaxed structure of CeHoI6.

crystal system = trigonal
ρ = 4.9 g cm⁻³
M_tot = 1.0 μB per formula unit
uncorrected formation energy = -1305 meV per atom
excess energy over the best structure of this formula in the dataset = 4.2 kJ/mol of atoms
space-group type = R-3 (148)

Lattice parameters (Å, degrees): 8.3306 8.3306 8.3306 55.30 55.30 55.30
With the nearest neighbours (Å) after each atom.
Fractional coordinates of all 8 atoms:
Ce  0.0000  0.0000  0.0000  6 I 3.16
Ho  0.5000  0.5000  0.5000  6 I 3.03
I  0.0975  0.4146  0.7430  1 Ho 3.03, 1 Ce 3.16
I  0.2570  0.9025  0.5854  1 Ho 3.03, 1 Ce 3.16
I  0.4146  0.7430  0.0975  1 Ho 3.03, 1 Ce 3.16
I  0.5854  0.2570  0.9025  1 Ho 3.03, 1 Ce 3.16
I  0.7430  0.0976  0.4146  1 Ho 3.03, 1 Ce 3.16
I  0.9025  0.5854  0.2570  1 Ho 3.03, 1 Ce 3.16

***

Record 10
DFT (PBE-GGA) results for a relaxed structure of TbPr2SmDy2.

crystal system = orthorhombic
calculated formation energy = 0.257 eV per atom
ρ = 7.4 g cm⁻³
M_tot = 0.0 μB per formula unit
space-group type = Pnnm (58)

Lattice parameters (Å, degrees): 6.6389 18.2006 3.4163 90.00 90.00 90.00
With the nearest neighbours (Å) after each atom.
Fractional coordinates of all 12 atoms:
Tb  0.0000  0.0000  0.0000  2 Dy 3.22, 2 Tb 3.42
Tb  0.5000  0.5000  0.5000  2 Dy 3.22, 2 Tb 3.42
Pr  0.2256  0.1866  0.0000  4 Dy 3.39-3.50, 2 Pr 3.42, 1 Tb 3.71
Pr  0.2744  0.6866  0.5000  4 Dy 3.39-3.50, 2 Pr 3.42, 1 Tb 3.71
Pr  0.7256  0.3134  0.5000  4 Dy 3.39-3.50, 2 Pr 3.42, 1 Tb 3.71
Pr  0.7744  0.8134  0.0000  4 Dy 3.39-3.50, 2 Pr 3.42, 1 Tb 3.71
Sm  0.0000  0.5000  0.0000  2 Sm 3.42, 4 Dy 3.48, 4 Tb 3.73
Sm  0.5000  0.0000  0.5000  2 Sm 3.42, 4 Dy 3.48, 4 Tb 3.73
Dy  0.2241  0.3547  0.5000  1 Tb 3.22, 4 Pr 3.39-3.50, 2 Dy 3.42, 2 Sm 3.48
Dy  0.2759  0.8547  0.0000  1 Tb 3.22, 4 Pr 3.39-3.50, 2 Dy 3.42, 2 Sm 3.48
Dy  0.7241  0.1453  0.0000  1 Tb 3.22, 4 Pr 3.39-3.50, 2 Dy 3.42, 2 Sm 3.48
Dy  0.7759  0.6453  0.5000  1 Tb 3.22, 4 Pr 3.39-3.50, 2 Dy 3.42, 2 Sm 3.48

***

Record 11
DFT (PBE-GGA) results for a relaxed structure of Tl4Hg3Cl10.

crystal system = tetragonal
ρ = 5.6 g cm⁻³
M_tot = 0.0 μB per formula unit
uncorrected formation energy = -750 meV per atom
space-group type = I4/mmm (139)

Lattice parameters (Å, degrees): 18.5771 18.5771 18.5771 163.34 163.34 23.64
With the nearest neighbours (Å) after each atom.
Fractional coordinates of all 17 atoms:
Tl  0.0671  0.0671  0.0000  12 Cl 3.63-3.81
Tl  0.1973  0.1973  0.0000  5 Cl 3.12-3.39
Tl  0.8027  0.8027  0.0000  5 Cl 3.12-3.39
Tl  0.9329  0.9329  0.0000  12 Cl 3.63-3.81
Hg  0.3534  0.3534  0.0000  6 Cl 2.56-2.71
Hg  0.5000  0.5000  0.0000  6 Cl 2.62-2.69
Hg  0.6466  0.6466  0.0000  6 Cl 2.56-2.71
Cl  0.0000  0.5000  0.5000  2 Hg 2.69
Cl  0.1405  0.6405  0.5000  2 Hg 2.70
Cl  0.2830  0.2830  0.0000  1 Hg 2.56
Cl  0.3595  0.8595  0.5000  2 Hg 2.70
Cl  0.4280  0.4280  0.0000  2 Hg 2.62-2.71
Cl  0.5000  0.0000  0.5000  2 Hg 2.69
Cl  0.5720  0.5720  0.0000  2 Hg 2.62-2.71
Cl  0.6405  0.1405  0.5000  2 Hg 2.70
Cl  0.7170  0.7170  0.0000  1 Hg 2.56
Cl  0.8595  0.3595  0.5000  2 Hg 2.70